The following is a PBE-GGA calculation of crystalline SmLuCuPb at its relaxed geometry, from the Alexandria database.

Lattice parameters (Å, degrees): 5.2061 5.2061 5.2061 60.00 60.00 60.00
Last column: nearest neighbours and their distance in Å.
Fractional coordinates of all 4 atoms:
Pb  0.2500  0.2500  0.2500  4 Sm 3.19, 4 Lu 3.19
Lu  0.0000  0.0000  0.0000  4 Pb 3.19, 4 Cu 3.19
Cu  0.7500  0.7500  0.7500  4 Lu 3.19, 4 Sm 3.19
Sm  0.5000  0.5000  0.5000  4 Cu 3.19, 4 Pb 3.19

Computed properties:
D(E_F)	4.0	states/eV/cell
ΔH_f (0 K)	-0.269	eV per atom
magnetization	0.01	μB per formula unit
mass density	9920	kg/m3